Entry 1:
Compound: Tl4CdCl
Source: the Alexandria database
Functional: GGA-PBEsol
Structure: relaxed

a b c (Å): 6.2670 6.2670 6.2670
angles (deg): 60.00 60.00 60.00
Sites, in units of the cell vectors:
Tl1 0.1250 0.1250 0.1250
Tl2 0.1250 0.1250 0.6250
Tl3 0.1250 0.6250 0.1250
Tl4 0.6250 0.1250 0.1250
Cd1 0.5000 0.5000 0.5000
Cl1 0.7500 0.7500 0.7500

The value obtained for the density of states at the Fermi level is 2.04 states/eV per cell. The calculation puts the raw formation energy at -1 meV/atom. The calculation puts the energy at -2.289 eV per atom. Its space group is No. 216. The value obtained for the calculated density is 9.21 g/cm³.

Entry 2:
Compound: KYMn2
Source: the Alexandria database
Functional: GGA-PBEsol
Structure: relaxed

a b c (Å): 7.2439 7.2439 7.2439
angles (deg): 154.07 141.47 47.03
Sites, in units of the cell vectors:
K1 0.0000 0.0000 0.0000
Y1 0.7318 0.2318 0.5000
Mn1 0.2473 0.7473 0.5000
Mn2 0.3417 0.3417 0.0000

The value obtained for the density of states at the Fermi level is 4.62 states/eV per cell. The formation energy is 0.8032 eV per atom. The calculation puts the energy at -6.066 eV per atom. The calculation puts the energy above the lowest structure with this stoichiometry at 0.0 meV/atom. Its space group is No. 44. The value obtained for the calculated density is 3.83 g/cm³.

Entry 3:
Compound: Mn2WCl
Source: the Alexandria database
Functional: GGA-PBEsol
Structure: relaxed

a b c (Å): 7.9551 7.9551 7.9551
angles (deg): 21.53 21.53 21.53
Sites, in units of the cell vectors:
Mn1 0.2495 0.2495 0.2495
Mn2 0.7505 0.7505 0.7505
W1 0.0000 0.0000 0.0000
Cl1 0.5000 0.5000 0.5000

The value obtained for the density of states at the Fermi level is 2.55 states/eV per cell. The calculation puts the raw formation energy at 292 meV/atom. The calculation puts the energy at -8.542 eV per atom. The calculation puts the energy above the lowest structure with this stoichiometry at 0.0 meV/atom. Its space group is No. 166. The value obtained for the calculated density is 9.20 g/cm³.

Entry 4:
Compound: Ba2Ru7O18
Source: the Alexandria database
Functional: GGA-PBEsol
Structure: relaxed

a b c (Å): 6.7146 7.1037 7.5091
angles (deg): 93.42 94.56 115.69
Sites, in units of the cell vectors:
Ba1 0.1829 0.3152 0.3794
Ba2 0.8171 0.6848 0.6206
Ru1 0.1169 0.7251 0.1143
Ru2 0.2987 0.1268 0.8145
Ru3 0.3252 0.6207 0.8025
Ru4 0.5000 0.0000 0.5000
Ru5 0.6748 0.3793 0.1975
Ru6 0.7013 0.8732 0.1855
Ru7 0.8831 0.2749 0.8857
O1 0.0077 0.0913 0.8338
O2 0.0246 0.4430 0.6960
O3 0.1756 0.4852 0.0148
O4 0.2154 0.8347 0.8845
O5 0.2242 0.0012 0.5703
O6 0.4066 0.4024 0.7297
O7 0.4067 0.8675 0.2509
O8 0.4160 0.2338 0.0479
O9 0.4181 0.7305 0.5821
O10 0.5819 0.2695 0.4179
O11 0.5840 0.7662 0.9521
O12 0.5933 0.1325 0.7491
O13 0.5934 0.5976 0.2703
O14 0.7758 0.9988 0.4297
O15 0.7846 0.1653 0.1155
O16 0.8244 0.5148 0.9852
O17 0.9754 0.5570 0.3040
O18 0.9923 0.9087 0.1662

The value obtained for the density of states at the Fermi level is 15.98 states/eV per cell. The calculation puts the raw formation energy at -1361 meV/atom. The calculation puts the energy at -7.657 eV per atom. Its space group is No. 2. The value obtained for the calculated density is 6.59 g/cm³.

Entry 5:
Compound: TbMn2Si2
Source: the Alexandria database
Functional: GGA-PBEsol
Structure: relaxed

a b c (Å): 5.7929 5.7929 5.7929
angles (deg): 141.17 141.17 56.08
Sites, in units of the cell vectors:
Tb1 0.0000 0.0000 0.0000
Mn1 0.2500 0.7500 0.5000
Mn2 0.7500 0.2500 0.5000
Si1 0.3792 0.3792 0.0000
Si2 0.6208 0.6208 0.0000

The value obtained for the density of states at the Fermi level is 2.85 states/eV per cell. The calculation puts the raw formation energy at -634 meV/atom. The calculation puts the energy at -7.839 eV per atom. Its space group is No. 139. The value obtained for the calculated density is 7.12 g/cm³.

Entry 6:
Compound: BaBr2
Source: the Alexandria database
Functional: GGA-PBEsol
Structure: relaxed

a b c (Å): 5.5082 5.5082 7.1852
angles (deg): 90.00 90.00 120.00
Sites, in units of the cell vectors:
Ba1 0.3333 0.6667 0.2500
Ba2 0.6667 0.3333 0.7500
Br1 0.0000 0.0000 0.0000
Br2 0.0000 0.0000 0.5000
Br3 0.3333 0.6667 0.7500
Br4 0.6667 0.3333 0.2500

The value obtained for the density of states at the Fermi level is 0.00 states/eV per cell. The calculation puts the raw formation energy at -2105 meV/atom. The calculation puts the energy at -4.068 eV per atom. Its space group is No. 194. The value obtained for the calculated density is 5.23 g/cm³.

Entry 7:
Compound: CoIrPt2
Source: the Alexandria database
Functional: GGA-PBEsol
Structure: relaxed

a b c (Å): 4.6576 4.6576 4.6661
angles (deg): 100.03 100.03 33.59
Sites, in units of the cell vectors:
Co1 0.0000 0.0000 0.0000
Ir1 0.7401 0.7401 0.2410
Pt1 0.2522 0.2522 0.7558
Pt2 0.4940 0.4940 0.4878

The value obtained for the density of states at the Fermi level is 5.38 states/eV per cell. The formation energy is 0.0207 eV per atom. The calculation puts the energy at -7.851 eV per atom. The calculation puts the energy above the lowest structure with this stoichiometry at 18.5 meV/atom. Its space group is No. 8. The value obtained for the calculated density is 19.34 g/cm³.

Entry 8:
Compound: BaNiIO6
Source: the Alexandria database
Functional: GGA-PBEsol
Structure: relaxed

a b c (Å): 5.1083 5.1083 5.7853
angles (deg): 90.00 90.00 120.00
Sites, in units of the cell vectors:
Ba1 0.0000 0.0000 0.0000
Ni1 0.6667 0.3333 0.5000
I1 0.3333 0.6667 0.5000
O1 0.0058 0.3872 0.3125
O2 0.0058 0.6186 0.6875
O3 0.3814 0.3872 0.6875
O4 0.3814 0.9942 0.3125
O5 0.6128 0.6186 0.3125
O6 0.6128 0.9942 0.6875

The value obtained for the density of states at the Fermi level is 3.15 states/eV per cell. The calculation puts the raw formation energy at -1157 meV/atom. The calculation puts the energy at -5.775 eV per atom. Its space group is No. 149. The value obtained for the calculated density is 5.32 g/cm³.